# TmV2AgO8

A relaxed structure of TmV2AgO8 (PBE with a Hubbard U, the Alexandria database).

Cell lengths 5.846, 5.846, 6.101 Å; angles 90.00, 90.00, 120.00 degrees
Fractional coordinates of all 12 atoms:
O1 0.164 0.836 0.757
V1 0.667 0.333 0.329
O2 0.328 0.164 0.243
O3 0.672 0.836 0.757
O4 0.836 0.164 0.243
O5 0.164 0.328 0.757
O6 0.836 0.672 0.243
Ag1 0.000 0.000 0.500
V2 0.333 0.667 0.671
Tm1 0.000 0.000 0.000
O7 0.333 0.667 0.403
O8 0.667 0.333 0.597

## Properties
The calculation puts the electronic total energy at -6.905 eV per atom. Its volume is 15.0 Å³ per atom. Its symmetry is No. 164.